Compound: CdIn5Au4
Source: the Alexandria database
Functional: PBE
Structure: relaxed

Unit cell a=7.647 b=7.647 c=6.949 alpha=91.65 beta=91.65 gamma=35.38
Fractional positions:
Cd (0.000, 0.000, 0.000)
In (0.000, 0.000, 0.500)
In (0.326, 0.326, 0.497)
In (0.330, 0.330, 0.007)
In (0.670, 0.670, 0.993)
In (0.674, 0.674, 0.503)
Au (0.169, 0.169, 0.751)
Au (0.477, 0.477, 0.754)
Au (0.523, 0.523, 0.246)
Au (0.831, 0.831, 0.249)

Output
Volume = 235 Å³ per cell
Space group = C2/m, No. 12
ΔE_f = -0.18 eV/atom
Uncorrected energy = -29.51 eV per formula unit
Calculated density = 10.412 g/cm3

Compound: Cd2InAu2
Source: the Alexandria database
Functional: PBE
Structure: relaxed

Unit cell a=7.357 b=7.357 c=7.357 alpha=147.50 beta=147.50 gamma=46.63
Fractional positions:
Cd (0.250, 0.750, 0.500)
Cd (0.750, 0.250, 0.500)
In (0.000, 0.000, 0.000)
Au (0.400, 0.400, 0.000)
Au (0.600, 0.600, 0.000)

Output
Volume = 115 Å³ per cell
Space group = I4/mmm, No. 139
Energy relative to the lowest polymorph listed for this composition = 9.3 kJ/mol of atoms
ΔE_f = -0.09 eV/atom
Uncorrected energy = -11.56 eV per formula unit
Calculated density = 10.633 g/cm3

Compound: Cd9In3Au2
Source: the Alexandria database
Functional: PBE
Structure: relaxed

Unit cell a=8.889 b=8.889 c=8.889 alpha=150.73 beta=97.38 gamma=89.95
Fractional positions:
Cd (0.000, 0.000, 0.000)
Cd (0.063, 0.853, 0.210)
Cd (0.243, 0.369, 0.874)
Cd (0.356, 0.147, 0.210)
Cd (0.495, 0.369, 0.126)
Cd (0.505, 0.631, 0.874)
Cd (0.644, 0.853, 0.790)
Cd (0.757, 0.631, 0.126)
Cd (0.937, 0.147, 0.790)
In (0.204, 0.704, 0.500)
In (0.500, 0.000, 0.500)
In (0.796, 0.296, 0.500)
Au (0.162, 0.500, 0.662)
Au (0.838, 0.500, 0.338)

Output
Volume = 332 Å³ per cell
Space group = Immm, No. 71
ΔE_f = -0.03 eV/atom
Uncorrected energy = -23.44 eV per formula unit
Calculated density = 8.766 g/cm3

Compound: Cd12InAu6
Source: the Alexandria database
Functional: PBE
Structure: relaxed

Unit cell a=7.994 b=7.994 c=7.994 alpha=106.09 beta=106.09 gamma=106.09
Fractional positions:
Cd (0.000, 0.385, 0.615)
Cd (0.000, 0.615, 0.385)
Cd (0.126, 0.126, 0.377)
Cd (0.126, 0.377, 0.126)
Cd (0.377, 0.126, 0.126)
Cd (0.385, 0.000, 0.615)
Cd (0.385, 0.615, 0.000)
Cd (0.615, 0.000, 0.385)
Cd (0.615, 0.385, 0.000)
Cd (0.623, 0.874, 0.874)
Cd (0.874, 0.623, 0.874)
Cd (0.874, 0.874, 0.623)
In (0.500, 0.500, 0.500)
Au (0.198, 0.789, 0.789)
Au (0.211, 0.211, 0.802)
Au (0.211, 0.802, 0.211)
Au (0.789, 0.198, 0.789)
Au (0.789, 0.789, 0.198)
Au (0.802, 0.211, 0.211)

Output
Volume = 436 Å³ per cell
Space group = R-3m, No. 166
Energy relative to the lowest polymorph listed for this composition = 2.1 kJ/mol of atoms
ΔE_f = -0.10 eV/atom
Uncorrected energy = -35.26 eV per formula unit
Calculated density = 10.087 g/cm3

Compound: Cd2In2Au
Source: the Alexandria database
Functional: PBE
Structure: relaxed

Unit cell a=7.922 b=7.922 c=7.922 alpha=149.61 beta=149.61 gamma=43.52
Fractional positions:
Cd (0.092, 0.092, 0.000)
Cd (0.908, 0.908, 0.000)
In (0.250, 0.750, 0.500)
In (0.750, 0.250, 0.500)
Au (0.500, 0.500, 0.000)

Output
Volume = 127 Å³ per cell
Space group = I4/mmm, No. 139
Energy relative to the lowest polymorph listed for this composition = 15.8 kJ/mol of atoms
ΔE_f = 0.19 eV/atom
Uncorrected energy = -9.66 eV per formula unit
Calculated density = 8.522 g/cm3

Compound: Cd4InAu7
Source: the Alexandria database
Functional: PBE
Structure: relaxed

Unit cell a=5.957 b=5.957 c=10.462 alpha=116.37 beta=116.37 gamma=52.18
Fractional positions:
Cd (0.098, 0.098, 0.273)
Cd (0.269, 0.269, 0.841)
Cd (0.731, 0.731, 0.159)
Cd (0.902, 0.902, 0.727)
In (0.500, 0.500, 0.500)
Au (0.000, 0.000, 0.500)
Au (0.138, 0.138, 0.020)
Au (0.289, 0.289, 0.585)
Au (0.436, 0.436, 0.167)
Au (0.564, 0.564, 0.833)
Au (0.711, 0.711, 0.415)
Au (0.862, 0.862, 0.980)

Output
Volume = 255 Å³ per cell
Space group = C2/m, No. 12
ΔE_f = -0.10 eV/atom
Uncorrected energy = -30.52 eV per formula unit
Calculated density = 12.659 g/cm3

> The lowest volume belongs to which entry?

Cd2InAu2

> The lowest uncorrected energy belongs to which entry?

Cd12InAu6

> calculated density of number 2 (Cd2InAu2)?

10.633 g/cm3

> What is the uncorrected energy in the first record?

-29.51 eV per formula unit